! VCd2InO6 (PBE+U, relaxed); values from VASP
! SG = P4mm, No. 99
! calculated total energy = -5.460 eV per atom
! density of states at the Fermi level = 0.01 states/eV/atom
&SYSTEM
  ibrav = 0, nat = 10, ntyp = 4
/
ATOMIC_SPECIES
V 50.94 V.upf
Cd 112.41 Cd.upf
In 114.82 In.upf
O 16.00 O.upf
ATOMIC_POSITIONS angstrom
V 0.0000 0.0000 0.0000
Cd 0.0000 2.6792 1.9589
Cd 2.6792 0.0000 1.9589
In 2.6792 2.6792 4.8083
O 0.0000 0.0000 3.2852
O 1.2585 1.2585 0.5940
O 1.2585 4.1000 0.5940
O 2.6792 2.6792 2.7587
O 4.1000 1.2585 0.5940
O 4.1000 4.1000 0.5940
CELL_PARAMETERS angstrom
5.3585 0.0000 0.0000
0.0000 5.3585 0.0000
0.0000 0.0000 4.9779